[1]
Density functional theory data (PBE-GGA) for a relaxed SrNi2Mo crystal.

a b c (Å): 4.2802 5.2630 6.7011
angles (deg): 90.00 90.00 90.00
Last column: nearest neighbours and their distance in Å.
Space group Immm (No. 71)
Inequivalent atoms, fractional coordinates:
1 Sr 0.0000 0.0000 0.0000 [2 per cell]  8 Ni 2.93-2.98
2 Ni 0.0000 0.5000 0.1913 [4 per cell]  2 Mo 2.49, 1 Ni 2.56
3 Mo 0.0000 0.0000 0.5000 [2 per cell]  4 Ni 2.49

The total energy comes out at -0.394 Ry per atom. Its formation energy from the elements is 0.659 eV per atom. As for the spin magnetization: 2.6 μB per cell. Its offset from the most stable computed form is 494.1 meV per atom.

=====

[2]
Density functional theory data (PBE-GGA) for a relaxed PaTiMn2 crystal.

a b c (Å): 6.3145 6.3145 6.3145
angles (deg): 90.00 90.00 90.00
Last column: nearest neighbours and their distance in Å.
Space group Fm-3m (No. 225)
Inequivalent atoms, fractional coordinates:
1 Pa 0.0000 0.0000 0.0000 [4 per cell]  8 Mn 2.73
2 Ti 0.0000 0.0000 0.5000 [4 per cell]  8 Mn 2.73
3 Mn 0.2500 0.2500 0.2500 [8 per cell]  4 Pa 2.73, 4 Ti 2.73

The total energy comes out at -0.660 Ry per atom. Its formation energy from the elements is -0.041 eV per atom. As for the spin magnetization: 2.1 μB per cell. Its offset from the most stable computed form is 0.0 meV per atom.

=====

[3]
Density functional theory data (PBE-GGA) for a relaxed LiSbAu4 crystal.

a b c (Å): 5.3054 19.5669 4.8337
angles (deg): 90.00 109.63 90.00
Last column: nearest neighbours and their distance in Å.
Space group C2/c (No. 15)
Inequivalent atoms, fractional coordinates:
1 Li 0.0000 0.1107 0.2500 [4 per cell]  8 Au 2.81-2.92, 2 Sb 2.98
2 Sb 0.0000 0.4174 0.2500 [4 per cell]  5 Au 2.80-3.09, 2 Li 2.98
3 Au 0.0000 0.0373 0.7500 [4 per cell]  2 Sb 2.80, 3 Li 2.81-2.90, 3 Au 2.82-2.87
4 Au 0.0000 0.1837 0.7500 [4 per cell]  2 Li 2.81, 8 Au 2.84-3.07
5 Au 0.0000 0.2597 0.2500 [4 per cell]  8 Au 2.84-2.95, 1 Li 2.92, 1 Sb 3.09
6 Au 0.0000 0.3408 0.7500 [4 per cell]  2 Li 2.82, 2 Sb 2.84, 5 Au 2.89-3.07

The total energy comes out at -0.247 Ry per atom. The uncorrected formation energy comes out at -0.168 eV per atom. As for the spin magnetization: 0.0 μB per cell. Its offset from the most stable computed form is 11.2 meV per atom.

=====

[4]
Density functional theory data (PBE-GGA) for a relaxed CuTe2Au crystal.

a b c (Å): 3.7887 3.8106 13.0406
angles (deg): 90.00 90.00 90.00
Last column: nearest neighbours and their distance in Å.
Space group Imm2 (No. 44)
Inequivalent atoms, fractional coordinates:
1 Cu 0.0000 0.0000 0.0000 [2 per cell]  2 Au 2.71, 4 Te 2.78
2 Te 0.0000 0.0000 0.5537 [2 per cell]  4 Cu 2.78
3 Te 0.0000 0.5000 0.7721 [2 per cell]  4 Au 2.88
4 Au 0.0000 0.5000 0.3510 [2 per cell]  2 Cu 2.71, 4 Te 2.88

The total energy comes out at -0.239 Ry per atom. The uncorrected formation energy comes out at 0.157 eV per atom. As for the spin magnetization: 0.0 μB per cell.

=====

[5]
Density functional theory data (PBE-GGA) for a relaxed La4SnRu crystal.

a b c (Å): 6.0532 8.1709 8.5057
angles (deg): 104.35 110.80 90.06
Last column: nearest neighbours and their distance in Å.
Space group P-1 (No. 2)
Inequivalent atoms, fractional coordinates:
1 La 0.0573 0.0635 0.3422 [2 per cell]  1 Ru 2.72
2 La 0.2079 0.3609 0.1397 [2 per cell]  2 Ru 2.83-2.98
3 La 0.2162 0.4352 0.6575 [2 per cell]  1 Ru 2.72
4 La 0.4317 0.8613 0.1401 [2 per cell]  2 Ru 2.83-2.99
5 Sn 0.3618 0.7501 0.5002 [2 per cell]  10 La 3.42-3.68
6 Ru 0.0000 0.0000 0.0000 [1 per cell]  6 La 2.72-2.98
7 Ru 0.5000 0.5000 0.0000 [1 per cell]  6 La 2.72-2.99

The total energy comes out at -0.435 Ry per atom. Its formation energy from the elements is -0.414 eV per atom. As for the spin magnetization: 0.0 μB per cell. Its offset from the most stable computed form is 24.3 meV per atom.

=====

[6]
Density functional theory data (PBE-GGA) for a relaxed YCoCu2 crystal.

a b c (Å): 4.0217 4.0381 7.6055
angles (deg): 90.00 90.00 90.00
Last column: nearest neighbours and their distance in Å.
Space group Imm2 (No. 44)
Inequivalent atoms, fractional coordinates:
1 Y 0.0000 0.0000 0.0000 [2 per cell]  4 Co 2.77, 8 Cu 2.77-2.85
2 Co 0.0000 0.5000 0.2497 [2 per cell]  8 Cu 2.76-2.85, 4 Y 2.77
3 Cu 0.0000 0.0000 0.5005 [2 per cell]  4 Co 2.76-2.78, 4 Cu 2.77, 4 Y 2.85
4 Cu 0.0000 0.5000 0.7506 [2 per cell]  4 Cu 2.77, 4 Y 2.77, 4 Co 2.85

The total energy comes out at -0.396 Ry per atom. Its formation energy from the elements is 0.051 eV per atom. As for the spin magnetization: 0.0 μB per cell. Its offset from the most stable computed form is 114.8 meV per atom.

=====

Repeat the sixth record exactly.
Density functional theory data (PBE-GGA) for a relaxed YCoCu2 crystal.

a b c (Å): 4.0217 4.0381 7.6055
angles (deg): 90.00 90.00 90.00
Last column: nearest neighbours and their distance in Å.
Space group Imm2 (No. 44)
Inequivalent atoms, fractional coordinates:
1 Y 0.0000 0.0000 0.0000 [2 per cell]  4 Co 2.77, 8 Cu 2.77-2.85
2 Co 0.0000 0.5000 0.2497 [2 per cell]  8 Cu 2.76-2.85, 4 Y 2.77
3 Cu 0.0000 0.0000 0.5005 [2 per cell]  4 Co 2.76-2.78, 4 Cu 2.77, 4 Y 2.85
4 Cu 0.0000 0.5000 0.7506 [2 per cell]  4 Cu 2.77, 4 Y 2.77, 4 Co 2.85

The total energy comes out at -0.396 Ry per atom. Its formation energy from the elements is 0.051 eV per atom. As for the spin magnetization: 0.0 μB per cell. Its offset from the most stable computed form is 114.8 meV per atom.